# 1
Below is a crystal of PtOF2 relaxed with PBEsol, with properties calculated at the SCAN level. Values from VASP.

Quantum ESPRESSO input file:
```
&SYSTEM
  ibrav = 0, nat = 8, ntyp = 3
/
ATOMIC_SPECIES
Pt 195.08 Pt.upf
O 16.00 O.upf
F 19.00 F.upf
CELL_PARAMETERS angstrom
-4.190 4.190 1.816
4.190 -4.190 1.816
4.190 4.190 -1.816
ATOMIC_POSITIONS crystal
Pt 0.000 0.000 0.000
Pt 0.750 0.250 0.500
O 0.250 0.750 0.500
O 0.500 0.500 0.000
F 0.375 0.124 0.249
F 0.874 0.625 0.749
F 0.875 0.126 0.751
F 0.876 0.125 0.251
```

**Crystal system**: tetragonal
**ΔE_f (raw)**: -619 meV/atom
**Symmetry**: I-42d

# 2
Below is a crystal of PtRhOF2 relaxed with PBEsol, with properties calculated at the SCAN level. Values from VASP.

Quantum ESPRESSO input file:
```
&SYSTEM
  ibrav = 0, nat = 5, ntyp = 4
/
ATOMIC_SPECIES
Pt 195.08 Pt.upf
Rh 102.91 Rh.upf
O 16.00 O.upf
F 19.00 F.upf
CELL_PARAMETERS angstrom
4.327 0.000 0.000
0.000 4.327 0.000
0.000 0.000 3.736
ATOMIC_POSITIONS crystal
Pt 0.000 0.000 0.000
Rh 0.500 0.500 0.500
O 0.000 0.000 0.500
F 0.000 0.500 0.000
F 0.500 0.000 0.000
```

**Crystal system**: tetragonal
**ΔE_f (raw)**: -61 meV/atom
**Symmetry**: P4/mmm

# 3
Below is a crystal of PtSeOF2 relaxed with PBEsol, with properties calculated at the SCAN level. Values from VASP.

Quantum ESPRESSO input file:
```
&SYSTEM
  ibrav = 0, nat = 5, ntyp = 4
/
ATOMIC_SPECIES
Pt 195.08 Pt.upf
Se 78.96 Se.upf
O 16.00 O.upf
F 19.00 F.upf
CELL_PARAMETERS angstrom
4.314 0.000 0.000
0.000 4.314 0.000
0.000 0.000 3.726
ATOMIC_POSITIONS crystal
Pt 0.000 0.000 0.000
Se 0.500 0.500 0.500
O 0.500 0.500 0.000
F 0.000 0.500 0.500
F 0.500 0.000 0.500
```

**Crystal system**: tetragonal
**ΔE_f (raw)**: 132 meV/atom
**Symmetry**: P4/mmm

# 4
Below is a crystal of SiPtOF2 relaxed with PBEsol, with properties calculated at the SCAN level. Values from VASP.

Quantum ESPRESSO input file:
```
&SYSTEM
  ibrav = 0, nat = 5, ntyp = 4
/
ATOMIC_SPECIES
Si 28.09 Si.upf
Pt 195.08 Pt.upf
O 16.00 O.upf
F 19.00 F.upf
CELL_PARAMETERS angstrom
4.123 0.000 0.000
0.000 4.123 0.000
0.000 0.000 3.261
ATOMIC_POSITIONS crystal
Si 0.000 0.000 0.000
Pt 0.500 0.500 0.500
O 0.000 0.000 0.500
F 0.000 0.500 0.000
F 0.500 0.000 0.000
```

**Crystal system**: tetragonal
**ΔE_f (raw)**: -872 meV/atom
**Symmetry**: P4/mmm

# 5
Below is a crystal of SrPtOF2 relaxed with PBEsol, with properties calculated at the SCAN level. Values from VASP.

Quantum ESPRESSO input file:
```
&SYSTEM
  ibrav = 0, nat = 5, ntyp = 4
/
ATOMIC_SPECIES
Sr 87.62 Sr.upf
Pt 195.08 Pt.upf
O 16.00 O.upf
F 19.00 F.upf
CELL_PARAMETERS angstrom
4.463 0.000 0.000
0.000 4.463 0.000
0.000 0.000 4.755
ATOMIC_POSITIONS crystal
Sr 0.000 0.000 0.000
Pt 0.500 0.500 0.500
O 0.000 0.000 0.500
F 0.000 0.500 0.000
F 0.500 0.000 0.000
```

**Crystal system**: tetragonal
**ΔE_f (raw)**: -976 meV/atom
**Symmetry**: P4/mmm

# 6
Below is a crystal of TaPtO2F relaxed with PBEsol, with properties calculated at the SCAN level. Values from VASP.

Quantum ESPRESSO input file:
```
&SYSTEM
  ibrav = 0, nat = 5, ntyp = 4
/
ATOMIC_SPECIES
Ta 180.95 Ta.upf
Pt 195.08 Pt.upf
O 16.00 O.upf
F 19.00 F.upf
CELL_PARAMETERS angstrom
3.933 0.000 0.000
0.000 3.933 0.000
0.000 0.000 4.071
ATOMIC_POSITIONS crystal
Ta 0.000 0.000 0.000
Pt 0.500 0.500 0.500
O 0.000 0.500 0.000
O 0.500 0.000 0.000
F 0.000 0.000 0.500
```

**Crystal system**: tetragonal
**ΔE_f (raw)**: -1386 meV/atom
**Symmetry**: P4/mmm